[1]
Density functional theory data (PBE-GGA) for crystalline LiYTmPt at its relaxed geometry.

a b c (Å): 7.0011 7.0011 7.0011
angles (deg): 90.00 90.00 90.00
Sites, in units of the cell vectors:
Li (0.0000, 0.0000, 0.0000)
Li (0.0000, 0.5000, 0.5000)
Li (0.5000, 0.0000, 0.5000)
Li (0.5000, 0.5000, 0.0000)
Y (0.2500, 0.2500, 0.2500)
Y (0.2500, 0.7500, 0.7500)
Y (0.7500, 0.2500, 0.7500)
Y (0.7500, 0.7500, 0.2500)
Tm (0.2500, 0.2500, 0.7500)
Tm (0.2500, 0.7500, 0.2500)
Tm (0.7500, 0.2500, 0.2500)
Tm (0.7500, 0.7500, 0.7500)
Pt (0.0000, 0.0000, 0.5000)
Pt (0.0000, 0.5000, 0.0000)
Pt (0.5000, 0.0000, 0.0000)
Pt (0.5000, 0.5000, 0.5000)

Raw total energy (eV for the cell shown): -86.6
Energy relative to the elements (meV/atom): -692.4
Mass density (kg/m3): 8901

***

[2]
Density functional theory data (PBE-GGA) for crystalline YErZnSi at its relaxed geometry.

a b c (Å): 7.0106 7.0106 7.0106
angles (deg): 90.00 90.00 90.00
Sites, in units of the cell vectors:
Y (0.0000, 0.0000, 0.0000)
Y (0.0000, 0.5000, 0.5000)
Y (0.5000, 0.0000, 0.5000)
Y (0.5000, 0.5000, 0.0000)
Er (0.0000, 0.0000, 0.5000)
Er (0.0000, 0.5000, 0.0000)
Er (0.5000, 0.0000, 0.0000)
Er (0.5000, 0.5000, 0.5000)
Zn (0.2500, 0.2500, 0.7500)
Zn (0.2500, 0.7500, 0.2500)
Zn (0.7500, 0.2500, 0.2500)
Zn (0.7500, 0.7500, 0.7500)
Si (0.2500, 0.2500, 0.2500)
Si (0.2500, 0.7500, 0.7500)
Si (0.7500, 0.2500, 0.7500)
Si (0.7500, 0.7500, 0.2500)

Raw total energy (eV for the cell shown): -78.3
Formation energy without anion corrections (eV per formula unit): -1.9
Offset from the most stable computed form (meV/atom): 123.1
Mass density (kg/m3): 6740

***

Q: Which value of raw total energy does entry 1 give?
A: -86.6 eV for the cell shown

***

Q: Which value of mass density does entry 2 give?
A: 6740 kg/m3